PrHgC, relaxed, DFT PBE-GGA; energy relative to the lowest polymorph listed for this composition = 0 meV per atom; space group = C2/m (12); D(E_F) = 0.427 states/eV per atom; formation energy from the elements = -277 meV per atom; spin magnetization = 0.0 μB/f.u.; V = 69.9 Å³/f.u.; theoretical density = 8396 kg/m³
1.0
3.933 -1.929 0.000
3.933 1.929 0.000
-2.846 0.000 9.218
Pr Hg C
2 2 2
Direct
0.090 0.090 0.345
0.910 0.910 0.655
0.315 0.315 0.905
0.685 0.685 0.095
0.413 0.413 0.466
0.587 0.587 0.534